# 1
{"formula": "Sn5Pd2Rh", "functional": "GGA-PBE", "state": "relaxed", "cell": [[-1.822, -2.130, -3.467], [-1.091, -3.910, 5.841], [-12.040, 6.680, 2.223]], "species": ["Sn", "Sn", "Sn", "Sn", "Sn", "Sn", "Sn", "Sn", "Sn", "Sn", "Rh", "Rh", "Pd", "Pd", "Pd", "Pd"], "fractional_positions": [[0.288, 0.576, 0.069], [0.288, 0.576, 0.431], [0.065, 0.130, 0.139], [0.935, 0.870, 0.861], [0.830, 0.660, 0.250], [0.712, 0.424, 0.931], [0.065, 0.130, 0.361], [0.170, 0.340, 0.750], [0.712, 0.424, 0.569], [0.935, 0.870, 0.639], [0.219, 0.438, 0.250], [0.781, 0.562, 0.750], [0.104, 0.208, 0.550], [0.896, 0.792, 0.050], [0.104, 0.208, 0.950], [0.896, 0.792, 0.450]], "e_form_ev_per_atom": -0.2013, "sg": "No. 63", "energy_ry_per_atom": -0.362}


# 2
{"formula": "NbNiAg2Pd", "functional": "GGA-PBE", "state": "relaxed", "cell": [[-1.649, -4.060, 2.369], [3.539, 0.386, 3.125], [-2.871, 2.857, 2.899]], "species": ["Ni", "Ag", "Ag", "Nb", "Pd"], "fractional_positions": [[0.500, 0.500, 0.500], [0.000, 0.000, 0.500], [0.500, 0.000, 0.000], [0.000, 0.500, 0.000], [0.000, 0.000, 0.000]], "e_form_ev_per_atom": 1.3393, "sg": "No. 123", "energy_ry_per_atom": -0.295}


# 3
{"formula": "Rb2NbTlBr6", "functional": "GGA-PBE", "state": "relaxed", "cell": [[7.735, 0.000, 0.000], [3.868, 6.699, 0.000], [3.868, 2.233, 15.934]], "species": ["Br", "Br", "Br", "Br", "Br", "Br", "Br", "Br", "Br", "Br", "Br", "Br", "Rb", "Rb", "Rb", "Rb", "Nb", "Nb", "Tl", "Tl"], "fractional_positions": [[0.629, 0.143, 0.598], [0.807, 0.289, 0.097], [0.857, 0.371, 0.402], [0.193, 0.711, 0.903], [0.143, 0.629, 0.598], [0.711, 0.193, 0.903], [0.371, 0.371, 0.402], [0.193, 0.193, 0.903], [0.371, 0.857, 0.402], [0.289, 0.807, 0.097], [0.629, 0.629, 0.598], [0.807, 0.807, 0.097], [0.690, 0.690, 0.929], [0.142, 0.142, 0.574], [0.310, 0.310, 0.071], [0.858, 0.858, 0.426], [0.000, 0.000, 0.000], [0.500, 0.500, 0.500], [0.583, 0.583, 0.250], [0.417, 0.417, 0.750]], "sg": "No. 166", "energy_ry_per_atom": -0.265, "raw_formation_energy_kj_per_mol_atoms": -112.97, "de_polymorph_ev_per_fu": 0.00}


# 4
{"formula": "PbW2Br", "functional": "GGA-PBE", "state": "relaxed", "cell": [[2.944, 0.000, 0.000], [0.000, 5.311, 0.000], [0.000, 0.000, 5.088]], "species": ["W", "W", "Pb", "Br"], "fractional_positions": [[0.500, 0.500, 0.000], [0.000, 0.000, 0.000], [0.000, 0.500, 0.500], [0.500, 0.000, 0.500]], "sg": "No. 47", "energy_ry_per_atom": -0.479, "raw_formation_energy_kj_per_mol_atoms": 126.31, "de_polymorph_ev_per_fu": 3.81}


# 5
{"formula": "Tb4Er3ScSe8", "functional": "GGA-PBE", "state": "relaxed", "cell": [[8.073, 0.000, 0.000], [0.000, 8.126, 0.029], [-4.036, -4.032, 5.712]], "species": ["Sc", "Se", "Se", "Se", "Se", "Se", "Se", "Se", "Se", "Tb", "Tb", "Tb", "Tb", "Er", "Er", "Er"], "fractional_positions": [[0.000, 0.500, 0.000], [0.248, 0.260, 0.004], [0.244, 0.740, 0.996], [0.756, 0.260, 0.512], [0.244, 0.740, 0.488], [0.748, 0.744, 0.496], [0.752, 0.740, 0.996], [0.252, 0.256, 0.504], [0.756, 0.260, 0.004], [0.000, 0.000, 0.000], [0.500, 0.000, 0.500], [0.000, 0.000, 0.500], [0.500, 0.000, 0.000], [0.500, 0.500, 0.500], [0.000, 0.500, 0.500], [0.500, 0.500, 0.000]], "sg": "No. 166", "energy_ry_per_atom": -0.431, "raw_formation_energy_kj_per_mol_atoms": -165.25}


# 6
{"formula": "Tb2PrSmSc2", "functional": "GGA-PBE", "state": "relaxed", "cell": [[-0.127, 1.431, 3.038], [-5.963, -1.979, 0.683], [5.814, -14.997, 7.308]], "species": ["Tb", "Tb", "Tb", "Tb", "Sm", "Sm", "Pr", "Pr", "Sc", "Sc", "Sc", "Sc"], "fractional_positions": [[0.500, 0.716, 0.693], [0.000, 0.784, 0.193], [0.000, 0.216, 0.807], [0.500, 0.284, 0.307], [0.000, 0.000, 0.500], [0.500, 0.500, 0.000], [0.500, 0.500, 0.500], [0.000, 0.000, 0.000], [0.000, 0.286, 0.146], [0.000, 0.714, 0.854], [0.500, 0.214, 0.646], [0.500, 0.786, 0.354]], "e_form_ev_per_atom": 0.2776, "sg": "No. 58", "energy_ry_per_atom": -0.365}